# 1
A geometry-optimized CoNiTe3Pb structure. Source: the Open Quantum Materials Database, functional PBE.

It has space group Cmcm (No. 63), with a = 3.803 Å, b = 13.854 Å, c = 10.724 Å, α = 90.00°, β = 90.00° and γ = 90.00°. The inequivalent atoms are Co at (0.000, 0.000, 0.000), Ni at (0.000, 0.383, 0.250), Te at (0.000, 0.008, 0.250), Te at (0.000, 0.378, 0.014) and Pb at (0.000, 0.259, 0.750).

The magnetic moment is 0.00 μB/cell. For the total energy, the calculation gives -4.445 eV per atom. The energy relative to the lowest polymorph listed for this composition comes out at 0.000 eV per atom.


# 2
A geometry-optimized NdHoBi4Au2 structure. Source: the Open Quantum Materials Database, functional PBE.

It has space group P4mm (No. 99), with a = 4.639 Å, b = 4.639 Å, c = 9.952 Å, α = 90.00°, β = 90.00° and γ = 90.00°. The inequivalent atoms are Nd at (0.000, 0.000, 0.000), Ho at (0.500, 0.500, 0.539), Bi at (0.000, 0.000, 0.564), Bi at (0.000, 0.500, 0.271), Bi at (0.500, 0.500, 0.958) and Au at (0.000, 0.500, 0.757).

The magnetic moment is 0.02 μB/cell. For the total energy, the calculation gives -4.550 eV per atom.


# 3
A geometry-optimized Ta4ZnPN2 structure. Source: the Open Quantum Materials Database, functional PBE.

It has space group P-6m2 (No. 187), with a = 3.1734 Å, b = 3.1734 Å, c = 12.5951 Å, α = 90.00°, β = 90.00° and γ = 120.00°. The inequivalent atoms are Ta at (0.0000, 0.0000, 0.1402), Ta at (0.6667, 0.3333, 0.3284), Zn at (0.0000, 0.0000, 0.5000), P at (0.6667, 0.3333, 0.0000) and N at (0.3333, 0.6667, 0.2394).

The magnetic moment is 0.00 μB/cell. For the total energy, the calculation gives -9.451 eV per atom.


Copy entry 3 word for word.
A geometry-optimized Ta4ZnPN2 structure. Source: the Open Quantum Materials Database, functional PBE.

It has space group P-6m2 (No. 187), with a = 3.1734 Å, b = 3.1734 Å, c = 12.5951 Å, α = 90.00°, β = 90.00° and γ = 120.00°. The inequivalent atoms are Ta at (0.0000, 0.0000, 0.1402), Ta at (0.6667, 0.3333, 0.3284), Zn at (0.0000, 0.0000, 0.5000), P at (0.6667, 0.3333, 0.0000) and N at (0.3333, 0.6667, 0.2394).

The magnetic moment is 0.00 μB/cell. For the total energy, the calculation gives -9.451 eV per atom.


Which value of magnetic moment does entry 1 give?
0.00 μB/cell


Which of these has the highest magnetic moment?
NdHoBi4Au2


What is the formula in the second record?
NdHoBi4Au2